Record 1
Ac3AlNi2O9 | GGA+U | relaxed

The value obtained for the electronic total energy is -103.35 eV/cell.

The space group is P-3m1 (No. 164) and the conventional cell measures 5.5486, 5.5486 and 6.7807 Å, with angles of 90.00, 90.00 and 120.00 degrees. The asymmetric unit holds Ac at (0.0000, 0.0000, 0.0000), Ac at (0.3333, 0.6667, 0.6674), Al at (0.0000, 0.0000, 0.5000), Ni at (0.3333, 0.6667, 0.1711), O at (0.0000, 0.5000, 0.0000) and O at (0.1631, 0.3261, 0.3377).

***

Record 2
Ac3Al2NiO9 | GGA+U | relaxed

The value obtained for the electronic total energy is -110.10 eV/cell.

The space group is P-3m1 (No. 164) and the conventional cell measures 5.5179, 5.5179 and 6.7931 Å, with angles of 90.00, 90.00 and 120.00 degrees. The asymmetric unit holds Ac at (0.0000, 0.0000, 0.0000), Ac at (0.3333, 0.6667, 0.6598), Al at (0.3333, 0.6667, 0.1582), Ni at (0.0000, 0.0000, 0.5000), O at (0.0000, 0.5000, 0.0000) and O at (0.1713, 0.3427, 0.3280).

***

What is the electronic total energy in the first record? -103.35 eV/cell

***

Which formula does entry 1 have? Ac3AlNi2O9

***

Number 2 is which compound? Ac3Al2NiO9

***

What is the formula in the first record? Ac3AlNi2O9